Model a:
14
Lattice="3.671 0.000 0.814 1.649 7.475 1.251 -0.103 0.173 9.153" Properties=species:S:1:pos:R:3 comment="GGA-PBE Na2Ni2S3, optimized geometry" sg="C2/m (12)" magnetic_moment_mub_per_fu=0.0 pbc="T T T"
S 2.572 2.056 5.773
S 5.028 7.417 3.381
S 0.189 0.232 7.837
Ni 2.900 3.724 4.294
Ni 4.738 5.677 4.689
Na 1.161 0.962 3.449
Na 1.743 1.996 9.513
S 1.321 3.671 2.729
Na 3.474 5.652 1.705
Ni 0.479 1.972 6.529
Na 4.056 6.687 7.769
Ni 2.317 3.925 6.924
S 3.896 3.978 8.489
S 2.645 5.592 5.445

---

Model b:
14
Lattice="6.640 0.000 -0.186 0.000 6.873 0.000 2.773 0.000 5.716" Properties=species:S:1:pos:R:3 comment="GGA-PBE Na2Ni2S3, optimized geometry" sg="P2_1/c (14)" magnetic_moment_mub_per_fu=0.0 pbc="T T T"
Na 4.406 1.058 0.991
S 6.672 0.923 3.367
S 6.061 4.360 2.070
Ni 3.878 4.063 1.972
S 3.352 2.513 3.460
Na 5.006 5.814 4.539
S 2.741 5.949 2.163
Na 8.326 4.495 4.446
Na 1.087 2.378 1.084
S 3.320 3.436 -0.093
Ni 2.215 0.627 3.651
Ni 5.535 2.810 3.558
Ni 7.198 6.246 1.879
S 0.000 0.000 0.000

---

What should be chosen as the least stable of them? Choose model a.

---

Model a:
5
Lattice="-1.675 -2.360 -3.057 2.940 -2.940 0.659 -2.505 -1.873 2.818" Properties=species:S:1:pos:R:3 comment="GGA-PBE NaNi3S, optimized geometry" sg="Pm-3m (221)" magnetic_moment_mub_per_fu=0.0 pbc="T T T"
Ni 1.470 -1.470 0.329
S 0.000 0.000 0.000
Ni -1.252 -0.936 1.409
Ni -0.838 -1.180 -1.529
Na -0.620 -3.587 0.210

---

Model b:
5
Lattice="-3.103 2.859 -1.231 1.107 -0.611 -4.209 -2.909 -3.282 -0.289" Properties=species:S:1:pos:R:3 comment="GGA-PBE NaNi3S, optimized geometry" sg="Pm-3m (221)" magnetic_moment_mub_per_fu=1.7 pbc="T T T"
Ni 0.553 -0.305 -2.105
Na 0.000 0.000 0.000
Ni -1.454 -1.641 -0.144
Ni -1.551 1.429 -0.615
S -2.452 -0.517 -2.864

---

What should be chosen as the least stable of them? Choose model b.

---

Model a:
5
Lattice="-2.759 -0.631 -5.130 -4.550 -2.463 2.750 -2.453 5.278 0.670" Properties=species:S:1:pos:R:3 comment="GGA-PBE Na3NiSb, optimized geometry" sg="Pm-3m (221)" magnetic_moment_mub_per_fu=1.5 pbc="T T T"
Ni -4.881 1.092 -0.855
Na -1.227 2.639 0.335
Na -2.275 -1.232 1.375
Sb 0.000 0.000 0.000
Na -1.380 -0.316 -2.565

---

Model b:
5
Lattice="5.236 0.000 0.000 0.000 5.236 0.000 0.000 0.000 5.236" Properties=species:S:1:pos:R:3 comment="GGA-PBE Na3NiSb, optimized geometry" sg="Pm-3m (221)" magnetic_moment_mub_per_fu=1.5 pbc="T T T"
Ni 0.000 0.000 0.000
Sb 2.618 2.618 2.618
Na 2.618 0.000 0.000
Na 0.000 0.000 2.618
Na 0.000 2.618 0.000

---

What should be chosen as the least stable of them? Choose model a.

---

Model a:
5
Lattice="-3.104 -3.845 1.875 -0.903 -1.675 -4.931 4.181 -3.216 0.327" Properties=species:S:1:pos:R:3 comment="GGA-PBE NaNiSb3, optimized geometry" sg="Pm-3m (221)" magnetic_moment_mub_per_fu=0.8 pbc="T T T"
Sb -1.552 -1.922 0.937
Na 0.000 0.000 0.000
Sb 2.091 -1.608 0.163
Sb -0.452 -0.838 -2.465
Ni 0.087 -4.368 -1.365

---

Model b:
10
Lattice="-1.954 0.727 -5.542 -3.748 -4.561 0.723 -4.823 4.323 2.268" Properties=species:S:1:pos:R:3 comment="GGA-PBE NaNiSb3, optimized geometry" sg="Pmn2_1 (31)" magnetic_moment_mub_per_fu=0.0 pbc="T T T"
Sb -8.322 2.551 -2.838
Sb -8.715 0.540 0.200
Sb -5.919 0.398 -3.968
Ni -4.483 -1.363 -2.768
Sb -5.285 3.384 -3.139
Sb -6.294 -1.630 -0.939
Na -2.791 1.530 -4.683
Ni -6.533 -0.314 1.256
Sb -2.773 -0.207 -1.333
Na -5.528 1.744 -0.526

---

Model c:
5
Lattice="5.113 0.000 0.000 0.000 5.113 0.000 0.000 0.000 5.113" Properties=species:S:1:pos:R:3 comment="GGA-PBE NaNiSb3, optimized geometry" sg="Pm-3m (221)" magnetic_moment_mub_per_fu=0.0 pbc="T T T"
Ni 0.000 0.000 0.000
Sb 0.000 2.557 0.000
Sb 0.000 0.000 2.557
Na 2.557 2.557 2.557
Sb 2.557 0.000 0.000

---

What should be chosen as the least stable of them? Choose model a.